Entry 1:
# CaPrAs | the Alexandria database | PBE | relaxed
# spin magnetization: 0.8 μB/f.u.
# DFT total energy: -27.6 eV per cell
data_CaPrAs
_space_group_name_H-M_alt 'P 1'
_space_group_IT_number 1
_space_group_name_Hall 'P 1'
_cell_length_a 11.1853
_cell_length_b 11.1853
_cell_length_c 11.1853
_cell_angle_alpha 23.19
_cell_angle_beta 23.19
_cell_angle_gamma 23.19
loop_
_atom_site_label
_atom_site_type_symbol
_atom_site_fract_x
_atom_site_fract_y
_atom_site_fract_z
Ca1 Ca 0.2009 0.2009 0.2009
Ca2 Ca 0.7991 0.7991 0.7991
Pr1 Pr 0.3784 0.3784 0.3784
Pr2 Pr 0.6216 0.6216 0.6216
As1 As 0.0971 0.0971 0.0971
As2 As 0.9029 0.9029 0.9029

***

Entry 2:
# CaPr2As | the Alexandria database | PBE | relaxed
# spin magnetization: 0.3 μB/f.u.
# DFT total energy: -18.7 eV per cell
data_CaPr2As
_space_group_name_H-M_alt 'P 1'
_space_group_IT_number 1
_space_group_name_Hall 'P 1'
_cell_length_a 10.2659
_cell_length_b 10.2659
_cell_length_c 10.2659
_cell_angle_alpha 23.14
_cell_angle_beta 23.14
_cell_angle_gamma 23.14
loop_
_atom_site_label
_atom_site_type_symbol
_atom_site_fract_x
_atom_site_fract_y
_atom_site_fract_z
Ca1 Ca 0.0000 0.0000 0.0000
Pr1 Pr 0.2245 0.2245 0.2245
Pr2 Pr 0.7755 0.7755 0.7755
As1 As 0.5000 0.5000 0.5000

***

Entry 3:
# CaPr2As | the Alexandria database | PBE | relaxed
# spin magnetization: 1.1 μB/f.u.
# DFT total energy: -18.7 eV per cell
data_CaPr2As
_space_group_name_H-M_alt 'P 1'
_space_group_IT_number 1
_space_group_name_Hall 'P 1'
_cell_length_a 10.2542
_cell_length_b 10.2542
_cell_length_c 10.2542
_cell_angle_alpha 23.19
_cell_angle_beta 23.19
_cell_angle_gamma 23.19
loop_
_atom_site_label
_atom_site_type_symbol
_atom_site_fract_x
_atom_site_fract_y
_atom_site_fract_z
Ca1 Ca 0.0000 0.0000 0.0000
Pr1 Pr 0.2247 0.2247 0.2247
Pr2 Pr 0.4424 0.4424 0.4424
As1 As 0.8337 0.8337 0.8337

***

Entry 4:
# CaPrAs | the Alexandria database | PBE | relaxed
# spin magnetization: 0.0 μB/f.u.
# DFT total energy: -13.4 eV per cell
data_CaPrAs
_space_group_name_H-M_alt 'P 1'
_space_group_IT_number 1
_space_group_name_Hall 'P 1'
_cell_length_a 4.7421
_cell_length_b 4.7421
_cell_length_c 4.4955
_cell_angle_alpha 90.00
_cell_angle_beta 90.00
_cell_angle_gamma 120.00
loop_
_atom_site_label
_atom_site_type_symbol
_atom_site_fract_x
_atom_site_fract_y
_atom_site_fract_z
Ca1 Ca 0.0000 0.0000 0.0000
Pr1 Pr 0.3333 0.6667 0.4827
As1 As 0.6667 0.3333 0.8371

***

Entry 5:
# CaPr2As3 | the Alexandria database | PBE | relaxed
# spin magnetization: 0.0 μB/f.u.
# DFT total energy: -33.2 eV per cell
data_CaPr2As3
_space_group_name_H-M_alt 'P 1'
_space_group_IT_number 1
_space_group_name_Hall 'P 1'
_cell_length_a 4.3004
_cell_length_b 4.3004
_cell_length_c 10.5142
_cell_angle_alpha 90.00
_cell_angle_beta 90.00
_cell_angle_gamma 120.00
loop_
_atom_site_label
_atom_site_type_symbol
_atom_site_fract_x
_atom_site_fract_y
_atom_site_fract_z
Ca1 Ca 0.0000 0.0000 0.0000
Pr1 Pr 0.3333 0.6667 0.6720
Pr2 Pr 0.6667 0.3333 0.3280
As1 As 0.0000 0.0000 0.5000
As2 As 0.3333 0.6667 0.1688
As3 As 0.6667 0.3333 0.8312

***

Entry 6:
# CaPr3As | the Alexandria database | PBE | relaxed
# spin magnetization: 0.0 μB/f.u.
# DFT total energy: -22.9 eV per cell
data_CaPr3As
_space_group_name_H-M_alt 'P 1'
_space_group_IT_number 1
_space_group_name_Hall 'P 1'
_cell_length_a 5.7959
_cell_length_b 5.7959
_cell_length_c 5.7959
_cell_angle_alpha 90.00
_cell_angle_beta 90.00
_cell_angle_gamma 90.00
loop_
_atom_site_label
_atom_site_type_symbol
_atom_site_fract_x
_atom_site_fract_y
_atom_site_fract_z
Ca1 Ca 0.0000 0.0000 0.0000
Pr1 Pr 0.0000 0.5000 0.5000
Pr2 Pr 0.5000 0.0000 0.5000
Pr3 Pr 0.5000 0.5000 0.0000
As1 As 0.5000 0.5000 0.5000